# PrV4Cu3O12, optimized geometry, DFT PBE+U
# Total energy in eV per atom: -7.055
data_PrV4Cu3O12
_symmetry_space_group_name_H-M 'I m -3'
_symmetry_Int_Tables_number 204
_symmetry_space_group_name_Hall '-I 2 2 3'
_cell_length_a 7.452
_cell_length_b 7.452
_cell_length_c 7.452
_cell_angle_alpha 90.00
_cell_angle_beta 90.00
_cell_angle_gamma 90.00
loop_
_atom_site_label
_atom_site_fract_x
_atom_site_fract_y
_atom_site_fract_z
Pr1 0.000 0.000 0.000
V1 0.250 0.250 0.250
Cu1 0.000 0.000 0.500
O1 0.000 0.180 0.299